[1]
Computed, not measured: YHfAl2 at its PBEsol-relaxed geometry at the meta-GGA SCAN level of DFT.

Results
Total energy   -26.758 eV/atom
Energy of formation   -253 meV/atom

a = 6.8703 Å, b = 6.8703 Å, c = 6.8703 Å
α = 90.00°, β = 90.00°, γ = 90.00°
With the nearest neighbours (Å) after each atom.
Space group Fm-3m (No. 225)
Inequivalent atoms, fractional coordinates:
Y: 0.0000 0.0000 0.0000  8 Al 2.97
Hf: 0.0000 0.0000 0.5000  8 Al 2.97
Al: 0.2500 0.2500 0.2500  4 Hf 2.97, 4 Y 2.97


[2]
Computed, not measured: TcNi2Pt at its PBEsol-relaxed geometry at the meta-GGA SCAN level of DFT.

Results
Total energy   -34.451 eV/atom
Energy of formation   -52 meV/atom

a = 2.6351 Å, b = 3.7153 Å, c = 5.0884 Å
α = 90.00°, β = 90.00°, γ = 90.00°
With the nearest neighbours (Å) after each atom.
Space group Pmm2 (No. 25)
Inequivalent atoms, fractional coordinates:
Tc: 0.0000 0.0000 0.0000  6 Ni 2.41-2.68, 2 Tc 2.64, 4 Pt 2.64
Ni: 0.0000 0.0000 0.4733  2 Tc 2.41-2.68, 6 Ni 2.57-2.64, 4 Pt 2.64
Ni: 0.5000 0.5000 0.2396  2 Pt 2.52-2.56, 6 Ni 2.57-2.64, 4 Tc 2.58
Pt: 0.5000 0.5000 0.7357  6 Ni 2.52-2.64, 2 Pt 2.64, 4 Tc 2.64


[3]
Computed, not measured: TeIr at its PBEsol-relaxed geometry at the meta-GGA SCAN level of DFT.

Results
Total energy   -54.049 eV/atom
ΔE_f (raw)   0.126 eV/atom

a = 3.5721 Å, b = 3.5721 Å, c = 6.5755 Å
α = 90.00°, β = 90.00°, γ = 90.00°
With the nearest neighbours (Å) after each atom.
Space group P4/nmm (No. 129, origin choice 2)
Inequivalent atoms, fractional coordinates:
Te: 0.2500 0.2500 0.2282  5 Ir 2.57-2.72
Ir: 0.2500 0.2500 0.6195  5 Te 2.57-2.72


[4]
Computed, not measured: CdBr4 at its PBEsol-relaxed geometry at the meta-GGA SCAN level of DFT.

Results
Total energy   -21.724 eV/atom
ΔE_f (raw)   -0.073 eV/atom

a = 6.6374 Å, b = 6.6374 Å, c = 6.6374 Å
α = 90.00°, β = 90.00°, γ = 90.00°
With the nearest neighbours (Å) after each atom.
Space group Im-3m (No. 229)
Inequivalent atoms, fractional coordinates:
Cd: 0.0000 0.0000 0.0000  8 Br 2.87
Br: 0.2500 0.2500 0.2500  2 Cd 2.87


[5]
Computed, not measured: AlTlSbTe2 at its PBEsol-relaxed geometry at the meta-GGA SCAN level of DFT.

Results
Total energy   -38.230 eV/atom
ΔE_f (raw)   0.145 eV/atom

a = 5.3979 Å, b = 5.3979 Å, c = 5.1999 Å
α = 90.00°, β = 90.00°, γ = 90.00°
With the nearest neighbours (Å) after each atom.
Space group P4/mmm (No. 123)
Inequivalent atoms, fractional coordinates:
Al: 0.0000 0.0000 0.0000  2 Sb 2.60, 4 Te 2.70
Tl: 0.5000 0.5000 0.5000  8 Te 3.75, 4 Sb 3.82
Sb: 0.0000 0.0000 0.5000  2 Al 2.60
Te: 0.0000 0.5000 0.0000  2 Al 2.70


[6]
Computed, not measured: Cs2MgTl2 at its PBEsol-relaxed geometry at the meta-GGA SCAN level of DFT.

Results
Total energy   -44.945 eV/atom
Energy of formation   117 meV/atom

a = 4.4090 Å, b = 4.4090 Å, c = 24.5491 Å
α = 90.00°, β = 90.00°, γ = 90.00°
With the nearest neighbours (Å) after each atom.
Space group I4/mmm (No. 139)
Inequivalent atoms, fractional coordinates:
Cs: 0.0000 0.0000 0.1111  4 Tl 4.06, 4 Mg 4.14, 4 Cs 4.41
Mg: 0.0000 0.0000 0.5000  8 Cs 4.14, 4 Mg 4.41
Tl: 0.0000 0.5000 0.2500  4 Tl 3.12